No. 1
Here is a relaxed BeFe3Te crystal from the Alexandria database. Energies are from PBE.

DOS(E_F)	0.814	states/eV/atom
ΔE_f (raw)	45.7	kJ per mole of atoms
E above lowest polymorph	0.000	eV/atom

```
data_BeFe3Te
_chemical_formula_sum 'Be1 Fe3 Te1'
_cell_length_a 4.0827
_cell_length_b 4.0827
_cell_length_c 4.0827
_cell_angle_alpha 90.00
_cell_angle_beta 90.00
_cell_angle_gamma 90.00
_space_group_name_H-M_alt 'P m -3 m'
_space_group_IT_number 221
_space_group_name_Hall '-P 4 2 3'
loop_
_atom_site_label
_atom_site_type_symbol
_atom_site_fract_x
_atom_site_fract_y
_atom_site_fract_z
Be1 Be 0.0000 0.0000 0.0000
Fe1 Fe 0.0000 0.0000 0.5000
Te1 Te 0.5000 0.5000 0.5000
```

=====

No. 2
Here is a relaxed BeFeTe2 crystal from the Alexandria database. Energies are from PBE.

DOS(E_F)	0.651	states/eV/atom
ΔE_f (raw)	14.4	kJ per mole of atoms

```
data_BeFeTe2
_chemical_formula_sum 'Be1 Fe1 Te2'
_cell_length_a 3.2423
_cell_length_b 3.2423
_cell_length_c 7.6289
_cell_angle_alpha 90.00
_cell_angle_beta 90.00
_cell_angle_gamma 90.00
_space_group_name_H-M_alt 'P 4 m m'
_space_group_IT_number 99
_space_group_name_Hall 'P 4 -2'
loop_
_atom_site_label
_atom_site_type_symbol
_atom_site_fract_x
_atom_site_fract_y
_atom_site_fract_z
Be1 Be 0.0000 0.0000 0.0000
Fe1 Fe 0.5000 0.5000 0.1334
Te1 Te 0.0000 0.0000 0.3224
Te2 Te 0.5000 0.5000 0.8016
```

=====

No. 3
Here is a relaxed BeFeTe2 crystal from the Alexandria database. Energies are from PBE.

DOS(E_F)	0.919	states/eV/atom
ΔE_f (raw)	51.0	kJ per mole of atoms

```
data_BeFeTe2
_chemical_formula_sum 'Be1 Fe1 Te2'
_cell_length_a 3.9985
_cell_length_b 3.6378
_cell_length_c 5.8155
_cell_angle_alpha 90.00
_cell_angle_beta 102.13
_cell_angle_gamma 90.00
_space_group_name_H-M_alt 'P 1 2/m 1'
_space_group_IT_number 10
_space_group_name_Hall '-P 2y'
loop_
_atom_site_label
_atom_site_type_symbol
_atom_site_fract_x
_atom_site_fract_y
_atom_site_fract_z
Be1 Be 0.0000 0.0000 0.0000
Fe1 Fe 0.5000 0.0000 0.5000
Te1 Te 0.2356 0.5000 0.7606
```

=====

No. 4
Here is a relaxed BeFeTe crystal from the Alexandria database. Energies are from PBE.

DOS(E_F)	0.993	states/eV/atom
ΔE_f (raw)	23.3	kJ per mole of atoms
E above lowest polymorph	0.000	eV/atom

```
data_BeFeTe
_chemical_formula_sum 'Be4 Fe4 Te4'
_cell_length_a 5.6860
_cell_length_b 5.6860
_cell_length_c 5.6860
_cell_angle_alpha 90.00
_cell_angle_beta 90.00
_cell_angle_gamma 90.00
_space_group_name_H-M_alt 'F -4 3 m'
_space_group_IT_number 216
_space_group_name_Hall 'F -4 2 3'
loop_
_atom_site_label
_atom_site_type_symbol
_atom_site_fract_x
_atom_site_fract_y
_atom_site_fract_z
Be1 Be 0.0000 0.0000 0.0000
Fe1 Fe 0.2500 0.2500 0.7500
Te1 Te 0.0000 0.0000 0.5000
```

=====

No. 5
Here is a relaxed BeFeTe2 crystal from the Alexandria database. Energies are from PBE.

DOS(E_F)	0.909	states/eV/atom
ΔE_f (raw)	51.1	kJ per mole of atoms

```
data_BeFeTe2
_chemical_formula_sum 'Be2 Fe2 Te4'
_cell_length_a 3.6873
_cell_length_b 5.6923
_cell_length_c 7.7456
_cell_angle_alpha 90.00
_cell_angle_beta 90.00
_cell_angle_gamma 90.00
_space_group_name_H-M_alt 'I m m m'
_space_group_IT_number 71
_space_group_name_Hall '-I 2 2'
loop_
_atom_site_label
_atom_site_type_symbol
_atom_site_fract_x
_atom_site_fract_y
_atom_site_fract_z
Be1 Be 0.0000 0.0000 0.0000
Fe1 Fe 0.0000 0.0000 0.5000
Te1 Te 0.0000 0.5000 0.2810
```

=====

No. 6
Here is a relaxed BeFeTe crystal from the Alexandria database. Energies are from PBE.

DOS(E_F)	0.345	states/eV/atom
ΔE_f (raw)	33.1	kJ per mole of atoms
E above lowest polymorph	0.102	eV/atom

```
data_BeFeTe
_chemical_formula_sum 'Be2 Fe2 Te2'
_cell_length_a 3.3859
_cell_length_b 3.3859
_cell_length_c 7.5251
_cell_angle_alpha 90.00
_cell_angle_beta 90.00
_cell_angle_gamma 90.00
_space_group_name_H-M_alt 'I 4 m m'
_space_group_IT_number 107
_space_group_name_Hall 'I 4 -2'
loop_
_atom_site_label
_atom_site_type_symbol
_atom_site_fract_x
_atom_site_fract_y
_atom_site_fract_z
Be1 Be 0.0000 0.0000 0.0000
Fe1 Fe 0.0000 0.0000 0.6670
Te1 Te 0.0000 0.0000 0.3307
```

=====

No. 7
Here is a relaxed Th2BeFe crystal from the Alexandria database. Energies are from PBE.

DOS(E_F)	0.915	states/eV/atom
formation energy from the elements	0.74	eV per atom

```
data_Th2BeFe
_chemical_formula_sum 'Th6 Be3 Fe3'
_cell_length_a 3.8940
_cell_length_b 3.8940
_cell_length_c 26.6867
_cell_angle_alpha 90.00
_cell_angle_beta 90.00
_cell_angle_gamma 120.00
_space_group_name_H-M_alt 'R -3 m'
_space_group_IT_number 166
_space_group_name_Hall '-R 3 2"'
loop_
_atom_site_label
_atom_site_type_symbol
_atom_site_fract_x
_atom_site_fract_y
_atom_site_fract_z
Th1 Th 0.0000 0.0000 0.1123
Be1 Be 0.0000 0.0000 0.0000
Fe1 Fe 0.0000 0.0000 0.5000
```

=====

No. 8
Here is a relaxed ThBeFe crystal from the Alexandria database. Energies are from PBE.

DOS(E_F)	0.523	states/eV/atom
formation energy from the elements	-0.02	eV per atom
E above lowest polymorph	0.067	eV/atom

```
data_ThBeFe
_chemical_formula_sum 'Th1 Be1 Fe1'
_cell_length_a 3.9036
_cell_length_b 3.9036
_cell_length_c 3.9165
_cell_angle_alpha 90.00
_cell_angle_beta 90.00
_cell_angle_gamma 120.00
_space_group_name_H-M_alt 'P -6 m 2'
_space_group_IT_number 187
_space_group_name_Hall 'P -6 2'
loop_
_atom_site_label
_atom_site_type_symbol
_atom_site_fract_x
_atom_site_fract_y
_atom_site_fract_z
Th1 Th 0.0000 0.0000 0.0000
Be1 Be 0.6667 0.3333 0.5000
Fe1 Fe 0.3333 0.6667 0.5000
```

=====

No. 9
Here is a relaxed ThBeFe crystal from the Alexandria database. Energies are from PBE.

DOS(E_F)	1.338	states/eV/atom
formation energy from the elements	-0.08	eV per atom
E above lowest polymorph	0.000	eV/atom

```
data_ThBeFe
_chemical_formula_sum 'Th2 Be2 Fe2'
_cell_length_a 4.0544
_cell_length_b 4.0544
_cell_length_c 6.2797
_cell_angle_alpha 90.00
_cell_angle_beta 90.00
_cell_angle_gamma 90.00
_space_group_name_H-M_alt 'P 4/n m m'
_space_group_IT_number 129
loop_
_space_group_symop_operation_xyz
'x,y,z'
'-x,-y,-z'
'-y+1/2,x,z'
'y+1/2,-x,-z'
'-x+1/2,-y+1/2,z'
'x+1/2,y+1/2,-z'
'y,-x+1/2,z'
'-y,x+1/2,-z'
'x+1/2,-y,-z'
'-x+1/2,y,z'
'-y,-x,-z'
'y,x,z'
'-x,y+1/2,-z'
'x,-y+1/2,z'
'y+1/2,x+1/2,-z'
'-y+1/2,-x+1/2,z'
loop_
_atom_site_label
_atom_site_type_symbol
_atom_site_fract_x
_atom_site_fract_y
_atom_site_fract_z
Th1 Th 0.2500 0.2500 0.1913
Be1 Be 0.2500 0.2500 0.6537
Fe1 Fe 0.2500 0.7500 0.5000
```

=====

No. 10
Here is a relaxed Ti4BeFe3 crystal from the Alexandria database. Energies are from PBE.

DOS(E_F)	0.336	states/eV/atom
formation energy from the elements	-0.35	eV per atom

```
data_Ti4BeFe3
_chemical_formula_sum 'Ti4 Be1 Fe3'
_cell_length_a 2.9549
_cell_length_b 2.9549
_cell_length_c 11.7317
_cell_angle_alpha 90.00
_cell_angle_beta 90.00
_cell_angle_gamma 90.00
_space_group_name_H-M_alt 'P 4/m m m'
_space_group_IT_number 123
_space_group_name_Hall '-P 4 2'
loop_
_atom_site_label
_atom_site_type_symbol
_atom_site_fract_x
_atom_site_fract_y
_atom_site_fract_z
Ti1 Ti 0.0000 0.0000 0.1232
Ti2 Ti 0.0000 0.0000 0.3744
Be1 Be 0.5000 0.5000 0.0000
Fe1 Fe 0.5000 0.5000 0.2472
Fe2 Fe 0.5000 0.5000 0.5000
```

=====

No. 11
Here is a relaxed Ti3Be2Fe crystal from the Alexandria database. Energies are from PBE.

DOS(E_F)	0.280	states/eV/atom
formation energy from the elements	-0.23	eV per atom

```
data_Ti3Be2Fe
_chemical_formula_sum 'Ti3 Be2 Fe1'
_cell_length_a 2.9547
_cell_length_b 2.9547
_cell_length_c 8.7338
_cell_angle_alpha 90.00
_cell_angle_beta 90.00
_cell_angle_gamma 90.00
_space_group_name_H-M_alt 'P 4/m m m'
_space_group_IT_number 123
_space_group_name_Hall '-P 4 2'
loop_
_atom_site_label
_atom_site_type_symbol
_atom_site_fract_x
_atom_site_fract_y
_atom_site_fract_z
Ti1 Ti 0.0000 0.0000 0.0000
Ti2 Ti 0.0000 0.0000 0.3322
Be1 Be 0.5000 0.5000 0.1666
Fe1 Fe 0.5000 0.5000 0.5000
```

=====

No. 12
Here is a relaxed TiBe2Fe2 crystal from the Alexandria database. Energies are from PBE.

DOS(E_F)	0.242	states/eV/atom
formation energy from the elements	0.12	eV per atom
E above lowest polymorph	0.330	eV/atom

```
data_TiBe2Fe2
_chemical_formula_sum 'Ti2 Be4 Fe4'
_cell_length_a 3.6148
_cell_length_b 3.6148
_cell_length_c 8.5330
_cell_angle_alpha 90.00
_cell_angle_beta 90.00
_cell_angle_gamma 90.00
_space_group_name_H-M_alt 'I 4/m m m'
_space_group_IT_number 139
_space_group_name_Hall '-I 4 2'
loop_
_atom_site_label
_atom_site_type_symbol
_atom_site_fract_x
_atom_site_fract_y
_atom_site_fract_z
Ti1 Ti 0.0000 0.0000 0.0000
Be1 Be 0.0000 0.5000 0.2500
Fe1 Fe 0.0000 0.0000 0.3791
```

=====

No. 13
Here is a relaxed TiBeFe crystal from the Alexandria database. Energies are from PBE.

DOS(E_F)	0.672	states/eV/atom
formation energy from the elements	-0.29	eV per atom
E above lowest polymorph	0.000	eV/atom

```
data_TiBeFe
_chemical_formula_sum 'Ti4 Be4 Fe4'
_cell_length_a 4.5643
_cell_length_b 4.7549
_cell_length_c 6.4010
_cell_angle_alpha 90.00
_cell_angle_beta 90.00
_cell_angle_gamma 90.00
_space_group_name_H-M_alt 'I m m a'
_space_group_IT_number 74
_space_group_name_Hall '-I 2b 2'
loop_
_atom_site_label
_atom_site_type_symbol
_atom_site_fract_x
_atom_site_fract_y
_atom_site_fract_z
Ti1 Ti 0.0000 0.2500 0.1278
Be1 Be 0.2500 0.2500 0.7500
Fe1 Fe 0.0000 0.0000 0.5000
```

=====

No. 14
Here is a relaxed Ti5Be4Fe crystal from the Alexandria database. Energies are from PBE.

DOS(E_F)	0.279	states/eV/atom
formation energy from the elements	-0.20	eV per atom

```
data_Ti5Be4Fe
_chemical_formula_sum 'Ti5 Be4 Fe1'
_cell_length_a 2.9487
_cell_length_b 2.9487
_cell_length_c 14.5713
_cell_angle_alpha 90.00
_cell_angle_beta 90.00
_cell_angle_gamma 90.00
_space_group_name_H-M_alt 'P 4/m m m'
_space_group_IT_number 123
_space_group_name_Hall '-P 4 2'
loop_
_atom_site_label
_atom_site_type_symbol
_atom_site_fract_x
_atom_site_fract_y
_atom_site_fract_z
Ti1 Ti 0.0000 0.0000 0.0000
Ti2 Ti 0.0000 0.0000 0.1997
Ti3 Ti 0.0000 0.0000 0.3991
Be1 Be 0.5000 0.5000 0.0996
Be2 Be 0.5000 0.5000 0.2994
Fe1 Fe 0.5000 0.5000 0.5000
```

=====

No. 15
Here is a relaxed TiBe2Fe crystal from the Alexandria database. Energies are from PBE.

DOS(E_F)	0.702	states/eV/atom
formation energy from the elements	-0.14	eV per atom
E above lowest polymorph	0.007	eV/atom

```
data_TiBe2Fe
_chemical_formula_sum 'Ti1 Be2 Fe1'
_cell_length_a 2.8272
_cell_length_b 2.8272
_cell_length_c 5.2990
_cell_angle_alpha 90.00
_cell_angle_beta 90.00
_cell_angle_gamma 90.00
_space_group_name_H-M_alt 'P 4/m m m'
_space_group_IT_number 123
_space_group_name_Hall '-P 4 2'
loop_
_atom_site_label
_atom_site_type_symbol
_atom_site_fract_x
_atom_site_fract_y
_atom_site_fract_z
Ti1 Ti 0.0000 0.0000 0.0000
Be1 Be 0.5000 0.5000 0.3012
Fe1 Fe 0.0000 0.0000 0.5000
```

=====

No. 16
Here is a relaxed TiBe10Fe crystal from the Alexandria database. Energies are from PBE.

DOS(E_F)	0.400	states/eV/atom
formation energy from the elements	-0.11	eV per atom

```
data_TiBe10Fe
_chemical_formula_sum 'Ti1 Be10 Fe1'
_cell_length_a 3.4324
_cell_length_b 4.2535
_cell_length_c 7.3957
_cell_angle_alpha 90.00
_cell_angle_beta 90.00
_cell_angle_gamma 90.00
_space_group_name_H-M_alt 'P m m m'
_space_group_IT_number 47
_space_group_name_Hall '-P 2 2'
loop_
_atom_site_label
_atom_site_type_symbol
_atom_site_fract_x
_atom_site_fract_y
_atom_site_fract_z
Ti1 Ti 0.0000 0.0000 0.0000
Be1 Be 0.0000 0.0000 0.3424
Be2 Be 0.0000 0.5000 0.1806
Be3 Be 0.5000 0.0000 0.5000
Be4 Be 0.5000 0.2489 0.2545
Be5 Be 0.5000 0.5000 0.0000
Fe1 Fe 0.0000 0.5000 0.5000
```

=====

No. 17
Here is a relaxed Ti4Be3Fe crystal from the Alexandria database. Energies are from PBE.

DOS(E_F)	0.376	states/eV/atom
formation energy from the elements	-0.21	eV per atom

```
data_Ti4Be3Fe
_chemical_formula_sum 'Ti4 Be3 Fe1'
_cell_length_a 2.9496
_cell_length_b 2.9496
_cell_length_c 11.6670
_cell_angle_alpha 90.00
_cell_angle_beta 90.00
_cell_angle_gamma 90.00
_space_group_name_H-M_alt 'P 4/m m m'
_space_group_IT_number 123
_space_group_name_Hall '-P 4 2'
loop_
_atom_site_label
_atom_site_type_symbol
_atom_site_fract_x
_atom_site_fract_y
_atom_site_fract_z
Ti1 Ti 0.0000 0.0000 0.1249
Ti2 Ti 0.0000 0.0000 0.3740
Be1 Be 0.5000 0.5000 0.0000
Be2 Be 0.5000 0.5000 0.2493
Fe1 Fe 0.5000 0.5000 0.5000
```

=====

No. 18
Here is a relaxed TiBeFe4 crystal from the Alexandria database. Energies are from PBE.

DOS(E_F)	0.658	states/eV/atom
formation energy from the elements	-0.06	eV per atom

```
data_TiBeFe4
_chemical_formula_sum 'Ti4 Be4 Fe16'
_cell_length_a 6.5736
_cell_length_b 6.5736
_cell_length_c 6.5736
_cell_angle_alpha 90.00
_cell_angle_beta 90.00
_cell_angle_gamma 90.00
_space_group_name_H-M_alt 'F -4 3 m'
_space_group_IT_number 216
_space_group_name_Hall 'F -4 2 3'
loop_
_atom_site_label
_atom_site_type_symbol
_atom_site_fract_x
_atom_site_fract_y
_atom_site_fract_z
Ti1 Ti 0.0000 0.0000 0.0000
Be1 Be 0.2500 0.2500 0.2500
Fe1 Fe 0.1241 0.1241 0.6241
```

=====

No. 19
Here is a relaxed Ti2BeFe2 crystal from the Alexandria database. Energies are from PBE.

DOS(E_F)	1.035	states/eV/atom
formation energy from the elements	-0.11	eV per atom

```
data_Ti2BeFe2
_chemical_formula_sum 'Ti4 Be2 Fe4'
_cell_length_a 5.8036
_cell_length_b 5.8036
_cell_length_c 3.7563
_cell_angle_alpha 90.00
_cell_angle_beta 90.00
_cell_angle_gamma 90.00
_space_group_name_H-M_alt 'P 4/m b m'
_space_group_IT_number 127
_space_group_name_Hall '-P 4 2ab'
loop_
_atom_site_label
_atom_site_type_symbol
_atom_site_fract_x
_atom_site_fract_y
_atom_site_fract_z
Ti1 Ti 0.1817 0.3183 0.0000
Be1 Be 0.0000 0.0000 0.5000
Fe1 Fe 0.1386 0.6386 0.5000
```

=====

No. 20
Here is a relaxed TiBe3Fe crystal from the Alexandria database. Energies are from PBE.

DOS(E_F)	0.875	states/eV/atom
formation energy from the elements	0.29	eV per atom

```
data_TiBe3Fe
_chemical_formula_sum 'Ti1 Be3 Fe1'
_cell_length_a 3.8681
_cell_length_b 3.8681
_cell_length_c 3.8681
_cell_angle_alpha 90.00
_cell_angle_beta 90.00
_cell_angle_gamma 90.00
_space_group_name_H-M_alt 'P m -3 m'
_space_group_IT_number 221
_space_group_name_Hall '-P 4 2 3'
loop_
_atom_site_label
_atom_site_type_symbol
_atom_site_fract_x
_atom_site_fract_y
_atom_site_fract_z
Ti1 Ti 0.0000 0.0000 0.0000
Be1 Be 0.0000 0.5000 0.5000
Fe1 Fe 0.5000 0.5000 0.5000
```